## Na3LiAu (meta-GGA SCAN)

Data for a PBEsol-optimized structure of Na3LiAu.

Summary:
Final energy, eV/atom: -16.4649
DOS(E_F), states/eV per cell: 2.25

Cell lengths 5.2588, 5.2588, 5.2588 Å; angles 90.00, 90.00, 90.00 degrees
Element x y z (fractional)
Na (0.5000, 0.0000, 0.0000)
Li (0.0000, 0.0000, 0.0000)
Au (0.5000, 0.5000, 0.5000)
Na (0.0000, 0.5000, 0.0000)
Na (0.0000, 0.0000, 0.5000)